Entry 1:
# PBE PmPIr2, optimized geometry
# * calculated density: 12.61 g cm⁻³
# * DFT total energy: -0.5679 Ry/atom
# * symmetry: P4/nmm
# * magnetic moment: 0.0 μB per cell
data_PmPIr2
_chemical_formula_sum 'Pm2 P2 Ir4'
_cell_length_a 3.963
_cell_length_b 3.963
_cell_length_c 9.399
_cell_angle_alpha 90.00
_cell_angle_beta 90.00
_cell_angle_gamma 90.00
_symmetry_space_group_name_H-M 'P 1'
_symmetry_Int_Tables_number 1
_symmetry_space_group_name_Hall 'P 1'
loop_
_atom_site_label
_atom_site_fract_x
_atom_site_fract_y
_atom_site_fract_z
_atom_site_occupancy
Pm1 0.250 0.250 0.216 1
Pm2 0.750 0.750 0.784 1
P1 0.250 0.250 0.646 1
P2 0.750 0.750 0.354 1
Ir1 0.250 0.250 0.886 1
Ir2 0.250 0.750 0.500 1
Ir3 0.750 0.250 0.500 1
Ir4 0.750 0.750 0.114 1



Entry 2:
# PBE Pm2P7Ir12, optimized geometry
# * calculated density: 14.59 g cm⁻³
# * DFT total energy: -0.5855 Ry/atom
# * symmetry: P-3
# * magnetic moment: 0.0 μB per cell
data_Pm2P7Ir12
_chemical_formula_sum 'Pm2 P7 Ir12'
_cell_length_a 9.614
_cell_length_b 9.614
_cell_length_c 4.000
_cell_angle_alpha 90.00
_cell_angle_beta 90.00
_cell_angle_gamma 120.00
_symmetry_space_group_name_H-M 'P 1'
_symmetry_Int_Tables_number 1
_symmetry_space_group_name_Hall 'P 1'
loop_
_atom_site_label
_atom_site_fract_x
_atom_site_fract_y
_atom_site_fract_z
_atom_site_occupancy
Pm1 0.333 0.667 0.247 1
Pm2 0.667 0.333 0.753 1
P1 0.000 0.000 0.500 1
P2 0.123 0.716 0.753 1
P3 0.284 0.407 0.753 1
P4 0.407 0.123 0.247 1
P5 0.593 0.877 0.753 1
P6 0.716 0.593 0.247 1
P7 0.877 0.284 0.247 1
Ir1 0.068 0.451 0.746 1
Ir2 0.106 0.262 0.237 1
Ir3 0.156 0.894 0.237 1
Ir4 0.262 0.156 0.763 1
Ir5 0.384 0.932 0.746 1
Ir6 0.451 0.384 0.254 1
Ir7 0.549 0.616 0.746 1
Ir8 0.616 0.068 0.254 1
Ir9 0.738 0.844 0.237 1
Ir10 0.844 0.106 0.763 1
Ir11 0.894 0.738 0.763 1
Ir12 0.932 0.549 0.254 1



Entry 3:
# PBE PmPIr, optimized geometry
# * calculated density: 10.16 g cm⁻³
# * DFT total energy: -0.5472 Ry/atom
# * symmetry: P-6m2
# * energy above the lowest structure with this stoichiometry: 0.095 eV per atom
# * magnetic moment: 0.0 μB per cell
data_PmPIr
_chemical_formula_sum 'Pm1 P1 Ir1'
_cell_length_a 4.077
_cell_length_b 4.077
_cell_length_c 4.182
_cell_angle_alpha 90.00
_cell_angle_beta 90.00
_cell_angle_gamma 120.00
_symmetry_space_group_name_H-M 'P 1'
_symmetry_Int_Tables_number 1
_symmetry_space_group_name_Hall 'P 1'
loop_
_atom_site_label
_atom_site_fract_x
_atom_site_fract_y
_atom_site_fract_z
_atom_site_occupancy
Pm1 0.000 0.000 0.000 1
P1 0.667 0.333 0.500 1
Ir1 0.333 0.667 0.500 1



Entry 4:
# PBE Pm2P4Ir3, optimized geometry
# * calculated density: 10.09 g cm⁻³
# * DFT total energy: -0.5283 Ry/atom
# * symmetry: Fmmm
# * magnetic moment: 0.0 μB per cell
data_Pm2P4Ir3
_chemical_formula_sum 'Pm2 P4 Ir3'
_cell_length_a 7.745
_cell_length_b 6.584
_cell_length_c 5.655
_cell_angle_alpha 78.12
_cell_angle_beta 56.28
_cell_angle_gamma 45.60
_symmetry_space_group_name_H-M 'P 1'
_symmetry_Int_Tables_number 1
_symmetry_space_group_name_Hall 'P 1'
loop_
_atom_site_label
_atom_site_fract_x
_atom_site_fract_y
_atom_site_fract_z
_atom_site_occupancy
Pm1 0.145 0.145 0.855 1
Pm2 0.855 0.855 0.145 1
P1 0.189 0.509 0.491 1
P2 0.491 0.811 0.189 1
P3 0.509 0.189 0.811 1
P4 0.811 0.491 0.509 1
Ir1 0.000 0.000 0.500 1
Ir2 0.500 0.500 0.000 1
Ir3 0.500 0.500 0.500 1



Entry 5:
# PBE PmPIr3, optimized geometry
# * calculated density: 14.45 g cm⁻³
# * DFT total energy: -0.5958 Ry/atom
# * symmetry: I4mm
# * magnetic moment: 0.0 μB per cell
data_PmPIr3
_chemical_formula_sum 'Pm1 P1 Ir3'
_cell_length_a 6.037
_cell_length_b 6.037
_cell_length_c 6.037
_cell_angle_alpha 140.99
_cell_angle_beta 140.99
_cell_angle_gamma 56.35
_symmetry_space_group_name_H-M 'P 1'
_symmetry_Int_Tables_number 1
_symmetry_space_group_name_Hall 'P 1'
loop_
_atom_site_label
_atom_site_fract_x
_atom_site_fract_y
_atom_site_fract_z
_atom_site_occupancy
Pm1 0.000 0.000 0.000 1
P1 0.374 0.374 0.000 1
Ir1 0.259 0.759 0.500 1
Ir2 0.586 0.586 0.000 1
Ir3 0.759 0.259 0.500 1



Entry 6:
# PBE PmP2Ir5, optimized geometry
# * calculated density: 15.17 g cm⁻³
# * DFT total energy: -0.5982 Ry/atom
# * symmetry: Immm
# * magnetic moment: 0.0 μB per cell
data_PmP2Ir5
_chemical_formula_sum 'Pm1 P2 Ir5'
_cell_length_a 6.141
_cell_length_b 6.141
_cell_length_c 6.141
_cell_angle_alpha 142.28
_cell_angle_beta 111.93
_cell_angle_gamma 80.53
_symmetry_space_group_name_H-M 'P 1'
_symmetry_Int_Tables_number 1
_symmetry_space_group_name_Hall 'P 1'
loop_
_atom_site_label
_atom_site_fract_x
_atom_site_fract_y
_atom_site_fract_z
_atom_site_occupancy
Pm1 0.000 0.000 0.000 1
P1 0.253 0.753 0.500 1
P2 0.747 0.247 0.500 1
Ir1 0.149 0.352 0.796 1
Ir2 0.444 0.648 0.796 1
Ir3 0.500 0.000 0.500 1
Ir4 0.556 0.352 0.204 1
Ir5 0.851 0.648 0.204 1



Entry 7:
# PBE Pm4PIr, optimized geometry
# * calculated density: 6.99 g cm⁻³
# * DFT total energy: -0.4565 Ry/atom
# * symmetry: I4_1md
# * magnetic moment: 0.0 μB per cell
data_Pm4PIr
_chemical_formula_sum 'Pm8 P2 Ir2'
_cell_length_a 7.940
_cell_length_b 7.940
_cell_length_c 7.940
_cell_angle_alpha 106.43
_cell_angle_beta 106.43
_cell_angle_gamma 115.74
_symmetry_space_group_name_H-M 'P 1'
_symmetry_Int_Tables_number 1
_symmetry_space_group_name_Hall 'P 1'
loop_
_atom_site_label
_atom_site_fract_x
_atom_site_fract_y
_atom_site_fract_z
_atom_site_occupancy
Pm1 0.201 0.000 0.201 1
Pm2 0.245 0.544 0.299 1
Pm3 0.245 0.946 0.701 1
Pm4 0.294 0.495 0.799 1
Pm5 0.696 0.495 0.201 1
Pm6 0.750 0.049 0.299 1
Pm7 0.750 0.451 0.701 1
Pm8 0.799 0.000 0.799 1
P1 0.504 0.004 0.500 1
P2 0.754 0.754 0.000 1
Ir1 0.245 0.245 0.000 1
Ir2 0.995 0.495 0.500 1



Entry 8:
# PBE PmPIr, optimized geometry
# * calculated density: 10.08 g cm⁻³
# * DFT total energy: -0.5541 Ry/atom
# * symmetry: P2_13
# * energy above the lowest structure with this stoichiometry: 0.000 eV per atom
# * magnetic moment: 0.0 μB per cell
data_PmPIr
_chemical_formula_sum 'Pm4 P4 Ir4'
_cell_length_a 6.237
_cell_length_b 6.237
_cell_length_c 6.237
_cell_angle_alpha 90.00
_cell_angle_beta 90.00
_cell_angle_gamma 90.00
_symmetry_space_group_name_H-M 'P 1'
_symmetry_Int_Tables_number 1
_symmetry_space_group_name_Hall 'P 1'
loop_
_atom_site_label
_atom_site_fract_x
_atom_site_fract_y
_atom_site_fract_z
_atom_site_occupancy
Pm1 0.161 0.161 0.161 1
Pm2 0.339 0.839 0.661 1
Pm3 0.661 0.339 0.839 1
Pm4 0.839 0.661 0.339 1
P1 0.068 0.568 0.932 1
P2 0.432 0.432 0.432 1
P3 0.568 0.932 0.068 1
P4 0.932 0.068 0.568 1
Ir1 0.172 0.328 0.672 1
Ir2 0.328 0.672 0.172 1
Ir3 0.672 0.172 0.328 1
Ir4 0.828 0.828 0.828 1



Entry 9:
# PBE Pm4PIr2, optimized geometry
# * calculated density: 7.78 g cm⁻³
# * DFT total energy: -0.4934 Ry/atom
# * symmetry: Fddd
# * magnetic moment: 0.0 μB per cell
data_Pm4PIr2
_chemical_formula_sum 'Pm8 P2 Ir4'
_cell_length_a 8.444
_cell_length_b 8.439
_cell_length_c 8.432
_cell_angle_alpha 60.07
_cell_angle_beta 60.01
_cell_angle_gamma 59.93
_symmetry_space_group_name_H-M 'P 1'
_symmetry_Int_Tables_number 1
_symmetry_space_group_name_Hall 'P 1'
loop_
_atom_site_label
_atom_site_fract_x
_atom_site_fract_y
_atom_site_fract_z
_atom_site_occupancy
Pm1 0.219 0.760 0.761 1
Pm2 0.239 0.239 0.240 1
Pm3 0.239 0.239 0.781 1
Pm4 0.240 0.781 0.239 1
Pm5 0.760 0.219 0.761 1
Pm6 0.761 0.761 0.219 1
Pm7 0.761 0.761 0.760 1
Pm8 0.781 0.240 0.239 1
P1 0.375 0.375 0.375 1
P2 0.625 0.625 0.625 1
Ir1 0.000 0.000 0.000 1
Ir2 0.000 0.000 0.500 1
Ir3 0.000 0.500 0.000 1
Ir4 0.500 0.000 0.000 1



Entry 10:
# PBE Pm3PIr3, optimized geometry
# * calculated density: 11.40 g cm⁻³
# * DFT total energy: -0.5460 Ry/atom
# * symmetry: C2/m
# * magnetic moment: 0.0 μB per cell
data_Pm3PIr3
_chemical_formula_sum 'Pm6 P2 Ir6'
_cell_length_a 5.703
_cell_length_b 5.703
_cell_length_c 14.687
_cell_angle_alpha 107.29
_cell_angle_beta 107.29
_cell_angle_gamma 42.11
_symmetry_space_group_name_H-M 'P 1'
_symmetry_Int_Tables_number 1
_symmetry_space_group_name_Hall 'P 1'
loop_
_atom_site_label
_atom_site_fract_x
_atom_site_fract_y
_atom_site_fract_z
_atom_site_occupancy
Pm1 0.008 0.008 0.381 1
Pm2 0.110 0.110 0.925 1
Pm3 0.240 0.240 0.223 1
Pm4 0.760 0.760 0.777 1
Pm5 0.890 0.890 0.075 1
Pm6 0.992 0.992 0.619 1
P1 0.274 0.274 0.614 1
P2 0.726 0.726 0.386 1
Ir1 0.306 0.306 0.456 1
Ir2 0.387 0.387 0.922 1
Ir3 0.461 0.461 0.759 1
Ir4 0.539 0.539 0.241 1
Ir5 0.613 0.613 0.078 1
Ir6 0.694 0.694 0.544 1



Which value of magnetic moment does entry 1 give?
0.0 μB per cell